First-principles (GGA-PBE) data for a geometry-optimized Y6C3S2O structure, as listed in Alexandria.

Values from the calculation:
total DFT energy (no corrections)	-8.017	eV/atom
spin magnetization	0.00	μB/f.u.
space-group type	C2/m (12)

a b c (Å): 8.3383 8.3383 7.4944
angles (deg): 104.29 104.29 25.42
With the nearest neighbours (Å) after each atom.
Element x y z (fractional)
Y (0.0071, 0.0071, 0.2476)  3 C 2.47-2.59, 2 O 2.66, 1 S 2.74
Y (0.3315, 0.3315, 0.4401)  3 C 2.47-2.64, 1 O 2.66, 2 S 2.76
Y (0.3438, 0.3438, 0.8955)  3 C 2.46-2.51
Y (0.6562, 0.6562, 0.1045)  3 C 2.46-2.51
Y (0.6685, 0.6685, 0.5599)  3 C 2.47-2.64, 1 O 2.66, 2 S 2.76
Y (0.9929, 0.9929, 0.7524)  3 C 2.47-2.59, 2 O 2.66, 1 S 2.74
C (0.1640, 0.1640, 0.3372)  6 Y 2.47-2.64
C (0.5000, 0.5000, 0.0000)  6 Y 2.46-2.59
C (0.8360, 0.8360, 0.6628)  6 Y 2.47-2.64
S (0.1669, 0.1669, 0.8334)  6 Y 2.74-2.80
S (0.8331, 0.8331, 0.1666)  6 Y 2.74-2.80
O (0.5000, 0.5000, 0.5000)  6 Y 2.66